# K2Ge2Pt

A relaxed K2Ge2Pt crystal (GGA-PBEsol, Alexandria).

DOS at the Fermi energy: 0.395 states/eV per atom
Calculated formation energy: -0.2528 eV per atom

Cell: 6.4829 6.4829 5.5390 Å, 90.00 90.00 90.00°
Element x y z (fractional)
1 K 0.1868 0.3132 0.0000
2 K 0.3132 0.8132 0.0000
3 K 0.6868 0.1868 0.0000
4 K 0.8132 0.6868 0.0000
5 Ge 0.1353 0.6353 0.5000
6 Ge 0.3647 0.1353 0.5000
7 Ge 0.6353 0.8647 0.5000
8 Ge 0.8647 0.3647 0.5000
9 Pt 0.0000 0.0000 0.5000
10 Pt 0.5000 0.5000 0.5000



# KGePt3

A relaxed KGePt3 crystal (GGA-PBEsol, Alexandria).

DOS at the Fermi energy: 0.846 states/eV per atom
Calculated formation energy: 2.1802 eV per atom

Cell: 4.8178 4.8178 4.8178 Å, 90.00 90.00 90.00°
Element x y z (fractional)
1 K 0.0000 0.0000 0.0000
2 Ge 0.5000 0.5000 0.5000
3 Pt 0.0000 0.0000 0.5000
4 Pt 0.0000 0.5000 0.0000
5 Pt 0.5000 0.0000 0.0000



# KGe2Pt2

A relaxed KGe2Pt2 crystal (GGA-PBEsol, Alexandria).

DOS at the Fermi energy: 0.387 states/eV per atom
Calculated formation energy: -0.4174 eV per atom

Cell: 3.9902 3.9902 13.4731 Å, 90.00 90.00 90.00°
Element x y z (fractional)
1 K 0.0000 0.0000 0.0000
2 K 0.5000 0.5000 0.5000
3 Ge 0.0000 0.0000 0.3620
4 Ge 0.0000 0.0000 0.6380
5 Ge 0.5000 0.5000 0.1380
6 Ge 0.5000 0.5000 0.8620
7 Pt 0.0000 0.5000 0.2500
8 Pt 0.0000 0.5000 0.7500
9 Pt 0.5000 0.0000 0.2500
10 Pt 0.5000 0.0000 0.7500



# KRb2Ge2

A relaxed KRb2Ge2 crystal (GGA-PBEsol, Alexandria).

DOS at the Fermi energy: 1.252 states/eV per atom
Calculated formation energy: 0.5438 eV per atom

Cell: 5.7115 5.7115 12.6409 Å, 90.00 90.00 90.00°
Element x y z (fractional)
1 K 0.0000 0.0000 0.0000
2 K 0.5000 0.5000 0.5000
3 Rb 0.0000 0.0000 0.3727
4 Rb 0.0000 0.0000 0.6273
5 Rb 0.5000 0.5000 0.1273
6 Rb 0.5000 0.5000 0.8727
7 Ge 0.0000 0.5000 0.2500
8 Ge 0.0000 0.5000 0.7500
9 Ge 0.5000 0.0000 0.2500
10 Ge 0.5000 0.0000 0.7500



# KRb2ZrGe

A relaxed KRb2ZrGe crystal (GGA-PBEsol, Alexandria).

DOS at the Fermi energy: 0.880 states/eV per atom
Calculated formation energy: 0.6181 eV per atom

Cell: 6.9337 6.9337 5.2277 Å, 90.00 90.00 90.00°
Element x y z (fractional)
1 K 0.0000 0.0000 0.0000
2 Rb 0.0000 0.5000 0.5000
3 Rb 0.5000 0.0000 0.5000
4 Zr 0.5000 0.5000 0.5000
5 Ge 0.5000 0.5000 0.0000



# K3ReGe

A relaxed K3ReGe crystal (GGA-PBEsol, Alexandria).

DOS at the Fermi energy: 1.032 states/eV per atom
Calculated formation energy: 1.6849 eV per atom

Cell: 6.2755 6.2755 6.2755 Å, 90.00 90.00 90.00°
Element x y z (fractional)
1 K 0.0000 0.0000 0.5000
2 K 0.0000 0.5000 0.0000
3 K 0.5000 0.0000 0.0000
4 Re 0.5000 0.5000 0.5000
5 Ge 0.0000 0.0000 0.0000



# KScRe2Ge

A relaxed KScRe2Ge crystal (GGA-PBEsol, Alexandria).

DOS at the Fermi energy: 1.186 states/eV per atom
Calculated formation energy: 1.4557 eV per atom

Cell: 4.6288 4.6288 5.1527 Å, 90.00 90.00 90.00°
Element x y z (fractional)
1 K 0.0000 0.0000 0.0000
2 Sc 0.5000 0.5000 0.0000
3 Re 0.0000 0.5000 0.5000
4 Re 0.5000 0.0000 0.5000
5 Ge 0.0000 0.0000 0.5000



# KGe2Rh2

A relaxed KGe2Rh2 crystal (GGA-PBEsol, Alexandria).

DOS at the Fermi energy: 0.432 states/eV per atom
Calculated formation energy: -0.4378 eV per atom

Cell: 4.1466 4.1466 11.0553 Å, 90.00 90.00 90.00°
Element x y z (fractional)
1 K 0.0000 0.0000 0.0000
2 K 0.5000 0.5000 0.5000
3 Ge 0.0000 0.0000 0.3636
4 Ge 0.0000 0.0000 0.6364
5 Ge 0.5000 0.5000 0.1364
6 Ge 0.5000 0.5000 0.8636
7 Rh 0.0000 0.5000 0.2500
8 Rh 0.0000 0.5000 0.7500
9 Rh 0.5000 0.0000 0.2500
10 Rh 0.5000 0.0000 0.7500



# KScGeRh2

A relaxed KScGeRh2 crystal (GGA-PBEsol, Alexandria).

DOS at the Fermi energy: 0.995 states/eV per atom
Calculated formation energy: 0.5567 eV per atom

Cell: 4.5715 4.5715 5.1919 Å, 90.00 90.00 90.00°
Element x y z (fractional)
1 K 0.0000 0.0000 0.0000
2 Sc 0.5000 0.5000 0.0000
3 Ge 0.0000 0.0000 0.5000
4 Rh 0.0000 0.5000 0.5000
5 Rh 0.5000 0.0000 0.5000



# K2SiGeS

A relaxed K2SiGeS crystal (GGA-PBEsol, Alexandria).

DOS at the Fermi energy: 1.040 states/eV per atom
E_tot: -15.93 eV/cell

Cell: 6.2811 6.2811 4.4507 Å, 90.00 90.00 90.00°
Element x y z (fractional)
1 K 0.0000 0.5000 0.0000
2 K 0.5000 0.0000 0.0000
3 Si 0.0000 0.0000 0.5000
4 Ge 0.0000 0.0000 0.0000
5 S 0.5000 0.5000 0.5000



# KTbGeS4

A relaxed KTbGeS4 crystal (GGA-PBEsol, Alexandria).

DOS at the Fermi energy: 0.000 states/eV per atom
E_tot: -75.14 eV/cell

Cell: 6.4341 6.5872 8.5938 Å, 90.00 107.64 90.00°
Element x y z (fractional)
1 K 0.2366 0.0000 0.4366
2 K 0.7634 0.5000 0.5634
3 Tb 0.2723 0.9847 0.9490
4 Tb 0.7277 0.4847 0.0510
5 Ge 0.2759 0.5185 0.1745
6 Ge 0.7240 0.0185 0.8255
7 S 0.0652 0.5885 0.9245
8 S 0.0724 0.5210 0.3364
9 S 0.4699 0.2587 0.7795
10 S 0.4854 0.2449 0.2034
11 S 0.5146 0.7449 0.7966
12 S 0.5301 0.7587 0.2205
13 S 0.9276 0.0210 0.6636
14 S 0.9348 0.0885 0.0755



# KGeSbTe2

A relaxed KGeSbTe2 crystal (GGA-PBEsol, Alexandria).

DOS at the Fermi energy: 1.346 states/eV per atom
E_tot: -11.54 eV/cell

Cell: 5.7834 5.7834 5.5339 Å, 90.00 90.00 90.00°
Element x y z (fractional)
1 K 0.0000 0.0000 0.0000
2 Ge 0.5000 0.5000 0.5000
3 Sb 0.0000 0.0000 0.5000
4 Te 0.0000 0.5000 0.0000
5 Te 0.5000 0.0000 0.0000



# K2GeSe4

A relaxed K2GeSe4 crystal (GGA-PBEsol, Alexandria).

DOS at the Fermi energy: 0.000 states/eV per atom
E_tot: -110.75 eV/cell

Cell: 11.8833 8.0497 9.0570 Å, 90.00 104.82 90.00°
Element x y z (fractional)
1 K 0.0476 0.0741 0.2213
2 K 0.0476 0.4259 0.7213
3 K 0.3479 0.0822 0.6896
4 K 0.3479 0.4178 0.1896
5 K 0.6521 0.5822 0.8104
6 K 0.6521 0.9178 0.3104
7 K 0.9524 0.5741 0.2787
8 K 0.9524 0.9259 0.7787
9 Ge 0.2549 0.6401 0.5370
10 Ge 0.2549 0.8599 0.0370
11 Ge 0.7451 0.1401 0.9630
12 Ge 0.7451 0.3599 0.4630
13 Se 0.1190 0.6586 0.0325
14 Se 0.1190 0.8414 0.5325
15 Se 0.2018 0.1292 0.9573
16 Se 0.2018 0.3708 0.4573
17 Se 0.3532 0.5380 0.7888
18 Se 0.3532 0.9620 0.2888
19 Se 0.4232 0.7335 0.4517
20 Se 0.4232 0.7665 0.9517
21 Se 0.5768 0.2335 0.0483
22 Se 0.5768 0.2665 0.5483
23 Se 0.6468 0.0380 0.7112
24 Se 0.6468 0.4620 0.2112
25 Se 0.7982 0.6292 0.5427
26 Se 0.7982 0.8708 0.0427
27 Se 0.8810 0.1586 0.4675
28 Se 0.8810 0.3414 0.9675



# KGe2Se4

A relaxed KGe2Se4 crystal (GGA-PBEsol, Alexandria).

DOS at the Fermi energy: 0.316 states/eV per atom
E_tot: -237.52 eV/cell

Cell: 7.2760 12.0474 18.0274 Å, 90.00 98.59 90.00°
Element x y z (fractional)
1 K 0.2145 0.0524 0.3203
2 K 0.2145 0.4476 0.8203
3 K 0.2509 0.1144 0.9538
4 K 0.2509 0.3856 0.4538
5 K 0.7491 0.6144 0.5462
6 K 0.7491 0.8856 0.0462
7 K 0.7855 0.5524 0.1797
8 K 0.7855 0.9476 0.6797
9 Ge 0.0590 0.7453 0.3546
10 Ge 0.0590 0.7547 0.8546
11 Ge 0.2560 0.7126 0.6738
12 Ge 0.2560 0.7874 0.1738
13 Ge 0.2825 0.6584 0.0214
14 Ge 0.2825 0.8416 0.5214
15 Ge 0.4380 0.2378 0.1433
16 Ge 0.4380 0.2622 0.6433
17 Ge 0.5621 0.7378 0.3567
18 Ge 0.5621 0.7622 0.8567
19 Ge 0.7175 0.1584 0.4786
20 Ge 0.7175 0.3416 0.9786
21 Ge 0.7440 0.2126 0.8262
22 Ge 0.7440 0.2874 0.3262
23 Ge 0.9410 0.2453 0.1454
24 Ge 0.9410 0.2547 0.6454
25 Se 0.0151 0.5782 0.9487
26 Se 0.0151 0.9218 0.4487
27 Se 0.0280 0.1814 0.7811
28 Se 0.0280 0.3186 0.2811
29 Se 0.1805 0.1015 0.1376
30 Se 0.1805 0.3985 0.6376
31 Se 0.2384 0.6452 0.5450
32 Se 0.2384 0.8548 0.0450
33 Se 0.3076 0.6078 0.3418
34 Se 0.3076 0.8922 0.8418
35 Se 0.3108 0.5953 0.1514
36 Se 0.3108 0.9047 0.6514
37 Se 0.4397 0.1348 0.5322
38 Se 0.4397 0.3652 0.0322
39 Se 0.4856 0.1310 0.7511
40 Se 0.4856 0.3690 0.2511
41 Se 0.5144 0.6310 0.7489
42 Se 0.5144 0.8690 0.2489
43 Se 0.5603 0.6348 0.9678
44 Se 0.5603 0.8652 0.4678
45 Se 0.6892 0.0953 0.3486
46 Se 0.6892 0.4047 0.8486
47 Se 0.6924 0.1078 0.1582
48 Se 0.6924 0.3922 0.6582
49 Se 0.7616 0.1452 0.9550
50 Se 0.7616 0.3548 0.4550
51 Se 0.8195 0.6015 0.3624
52 Se 0.8195 0.8985 0.8624
53 Se 0.9720 0.6814 0.7189
54 Se 0.9720 0.8186 0.2189
55 Se 0.9849 0.0782 0.5513
56 Se 0.9849 0.4218 0.0513



# KGeSe2

A relaxed KGeSe2 crystal (GGA-PBEsol, Alexandria).

DOS at the Fermi energy: 0.464 states/eV per atom
E_tot: -45.14 eV/cell

Cell: 3.8356 3.8356 26.8427 Å, 90.00 90.00 120.00°
Element x y z (fractional)
1 K 0.0000 0.0000 0.0000
2 K 0.3333 0.6667 0.6667
3 K 0.6667 0.3333 0.3333
4 Ge 0.0000 0.0000 0.5000
5 Ge 0.3333 0.6667 0.1667
6 Ge 0.6667 0.3333 0.8333
7 Se 0.0000 0.0000 0.1122
8 Se 0.0000 0.0000 0.8878
9 Se 0.3333 0.6667 0.5545
10 Se 0.3333 0.6667 0.7788
11 Se 0.6667 0.3333 0.2212
12 Se 0.6667 0.3333 0.4455



# KZnGe2Se

A relaxed KZnGe2Se crystal (GGA-PBEsol, Alexandria).

DOS at the Fermi energy: 0.438 states/eV per atom
E_tot: -14.84 eV/cell

Cell: 4.7234 4.7234 5.6603 Å, 90.00 90.00 90.00°
Element x y z (fractional)
1 K 0.0000 0.0000 0.0000
2 Zn 0.0000 0.0000 0.5000
3 Ge 0.0000 0.5000 0.5000
4 Ge 0.5000 0.0000 0.5000
5 Se 0.5000 0.5000 0.0000



# K2SiGe

A relaxed K2SiGe crystal (GGA-PBEsol, Alexandria).

DOS at the Fermi energy: 0.044 states/eV per atom
E_tot: -42.98 eV/cell

Cell: 7.7118 7.7118 7.7118 Å, 90.00 90.00 90.00°
Element x y z (fractional)
1 K 0.2500 0.2500 0.2500
2 K 0.2500 0.2500 0.7500
3 K 0.2500 0.7500 0.2500
4 K 0.2500 0.7500 0.7500
5 K 0.7500 0.2500 0.2500
6 K 0.7500 0.2500 0.7500
7 K 0.7500 0.7500 0.2500
8 K 0.7500 0.7500 0.7500
9 Si 0.0000 0.0000 0.0000
10 Si 0.0000 0.5000 0.5000
11 Si 0.5000 0.0000 0.5000
12 Si 0.5000 0.5000 0.0000
13 Ge 0.0000 0.0000 0.5000
14 Ge 0.0000 0.5000 0.0000
15 Ge 0.5000 0.0000 0.0000
16 Ge 0.5000 0.5000 0.5000



# KTa2SiGe

A relaxed KTa2SiGe crystal (GGA-PBEsol, Alexandria).

DOS at the Fermi energy: 0.986 states/eV per atom
E_tot: -29.44 eV/cell

Cell: 4.7978 4.7978 5.2168 Å, 90.00 90.00 90.00°
Element x y z (fractional)
1 K 0.0000 0.0000 0.0000
2 Ta 0.0000 0.5000 0.5000
3 Ta 0.5000 0.0000 0.5000
4 Si 0.5000 0.5000 0.0000
5 Ge 0.0000 0.0000 0.5000



# KSi2TcGe

A relaxed KSi2TcGe crystal (GGA-PBEsol, Alexandria).

DOS at the Fermi energy: 1.038 states/eV per atom
E_tot: -16.10 eV/cell

Cell: 5.0604 5.0604 4.4808 Å, 90.00 90.00 90.00°
Element x y z (fractional)
1 K 0.0000 0.0000 0.0000
2 Si 0.0000 0.5000 0.0000
3 Si 0.5000 0.0000 0.0000
4 Tc 0.0000 0.0000 0.5000
5 Ge 0.5000 0.5000 0.5000



# KSrGe2

A relaxed KSrGe2 crystal (GGA-PBEsol, Alexandria).

DOS at the Fermi energy: 0.591 states/eV per atom
Calculated formation energy: -0.0318 eV per atom

Cell: 7.6032 7.6032 7.6032 Å, 90.00 90.00 90.00°
Element x y z (fractional)
1 K 0.0000 0.0000 0.0000
2 K 0.0000 0.5000 0.5000
3 K 0.5000 0.0000 0.5000
4 K 0.5000 0.5000 0.0000
5 Sr 0.0000 0.0000 0.5000
6 Sr 0.0000 0.5000 0.0000
7 Sr 0.5000 0.0000 0.0000
8 Sr 0.5000 0.5000 0.5000
9 Ge 0.2500 0.2500 0.2500
10 Ge 0.2500 0.2500 0.7500
11 Ge 0.2500 0.7500 0.2500
12 Ge 0.2500 0.7500 0.7500
13 Ge 0.7500 0.2500 0.2500
14 Ge 0.7500 0.2500 0.7500
15 Ge 0.7500 0.7500 0.2500
16 Ge 0.7500 0.7500 0.7500



# K3TcGe

A relaxed K3TcGe crystal (GGA-PBEsol, Alexandria).

DOS at the Fermi energy: 2.255 states/eV per atom
Calculated formation energy: 1.5788 eV per atom

Cell: 6.1788 6.1788 6.1788 Å, 90.00 90.00 90.00°
Element x y z (fractional)
1 K 0.0000 0.0000 0.5000
2 K 0.0000 0.5000 0.0000
3 K 0.5000 0.0000 0.0000
4 Tc 0.0000 0.0000 0.0000
5 Ge 0.5000 0.5000 0.5000



# K2TlGe

A relaxed K2TlGe crystal (GGA-PBEsol, Alexandria).

DOS at the Fermi energy: 0.903 states/eV per atom
Calculated formation energy: 0.1813 eV per atom

Cell: 7.9906 7.9906 7.9906 Å, 90.00 90.00 90.00°
Element x y z (fractional)
1 K 0.2500 0.2500 0.2500
2 K 0.2500 0.2500 0.7500
3 K 0.2500 0.7500 0.2500
4 K 0.2500 0.7500 0.7500
5 K 0.7500 0.2500 0.2500
6 K 0.7500 0.2500 0.7500
7 K 0.7500 0.7500 0.2500
8 K 0.7500 0.7500 0.7500
9 Tl 0.0000 0.0000 0.0000
10 Tl 0.0000 0.5000 0.5000
11 Tl 0.5000 0.0000 0.5000
12 Tl 0.5000 0.5000 0.0000
13 Ge 0.0000 0.0000 0.5000
14 Ge 0.0000 0.5000 0.0000
15 Ge 0.5000 0.0000 0.0000
16 Ge 0.5000 0.5000 0.5000



# KTl2Ge2

A relaxed KTl2Ge2 crystal (GGA-PBEsol, Alexandria).

DOS at the Fermi energy: 0.316 states/eV per atom
Calculated formation energy: -0.0112 eV per atom

Cell: 5.1044 5.1044 10.5013 Å, 90.00 90.00 90.00°
Element x y z (fractional)
1 K 0.0000 0.0000 0.0000
2 K 0.5000 0.5000 0.5000
3 Tl 0.0000 0.5000 0.2500
4 Tl 0.0000 0.5000 0.7500
5 Tl 0.5000 0.0000 0.2500
6 Tl 0.5000 0.0000 0.7500
7 Ge 0.0000 0.0000 0.3817
8 Ge 0.0000 0.0000 0.6183
9 Ge 0.5000 0.5000 0.1183
10 Ge 0.5000 0.5000 0.8817



# K3TlGe

A relaxed K3TlGe crystal (GGA-PBEsol, Alexandria).

ΔE to the lowest computed polymorph: 0 meV/atom
DOS at the Fermi energy: 0.690 states/eV per atom
Calculated formation energy: 0.3400 eV per atom

Cell: 6.3888 6.3888 6.3888 Å, 90.00 90.00 90.00°
Element x y z (fractional)
1 K 0.0000 0.0000 0.5000
2 K 0.0000 0.5000 0.0000
3 K 0.5000 0.0000 0.0000
4 Tl 0.5000 0.5000 0.5000
5 Ge 0.0000 0.0000 0.0000



| no. | density (g/cm³) |
| --- | --- |
| 1 | 5.97 |
| 2 | 10.35 |
| 3 | 8.90 |
| 4 | 2.86 |
| 5 | 2.47 |
| 6 | 2.53 |
| 7 | 7.96 |
| 8 | 6.82 |
| 9 | 5.55 |
| 10 | 2.00 |
| 11 | 3.82 |
| 12 | 4.38 |
| 13 | 3.70 |
| 14 | 4.25 |
| 15 | 3.93 |
| 16 | 4.32 |
| 17 | 2.59 |
| 18 | 6.94 |
| 19 | 3.85 |
| 20 | 4.11 |
| 21 | 2.03 |
| 22 | 4.62 |
| 23 | 7.20 |
| 24 | 2.51 |